# 1
# Tl2PtW

A crystal of Tl2PtW relaxed with PBEsol (meta-GGA SCAN, the Alexandria database).

The calculation puts the offset from the most stable computed form at 0.474 eV per atom. The density is 17.58 Mg/m³. The total DFT energy (no corrections) comes out at -70.11 eV per atom. As for the density of states at the Fermi level: 0.88 states/eV/atom. Its energy of formation is 4.14 eV/f.u.

Cell lengths 4.7211, 4.7211, 4.7211 Å; angles 60.00, 60.00, 60.00 degrees
With the nearest neighbours (Å) after each atom.
Fractional positions:
Tl 0.2500 0.2500 0.2500  4 W 2.89, 4 Pt 2.89
Tl 0.7500 0.7500 0.7500  4 W 2.89, 4 Pt 2.89
W 0.5000 0.5000 0.5000  8 Tl 2.89
Pt 0.0000 0.0000 0.0000  8 Tl 2.89



# 2
# KTaIr2

A crystal of KTaIr2 relaxed with PBEsol (meta-GGA SCAN, the Alexandria database).

The calculation puts the offset from the most stable computed form at 0.406 eV per atom. The density is 15.15 Mg/m³. The total DFT energy (no corrections) comes out at -53.34 eV per atom. As for the density of states at the Fermi level: 0.98 states/eV/atom. Its energy of formation is 3.76 eV/f.u.

Cell lengths 4.5415, 4.5415, 4.5415 Å; angles 60.00, 60.00, 60.00 degrees
With the nearest neighbours (Å) after each atom.
Fractional positions:
Ta 0.2500 0.2500 0.2500  4 K 2.78, 4 Ir 2.78
Ir 0.0000 0.0000 0.0000  4 Ta 2.78, 4 Ir 2.78
Ir 0.7500 0.7500 0.7500  4 K 2.78, 4 Ir 2.78
K 0.5000 0.5000 0.5000  4 Ir 2.78, 4 Ta 2.78



# 3
# CrAsO4

A crystal of CrAsO4 relaxed with PBEsol (meta-GGA SCAN, the Alexandria database).

The uncorrected formation energy comes out at -1830 meV/atom. The density is 4.78 Mg/m³. The total DFT energy (no corrections) comes out at -12.41 eV per atom. As for the density of states at the Fermi level: 0.00 states/eV/atom.

Cell lengths 4.7413, 6.1919, 9.0424 Å; angles 90.00, 90.00, 90.00 degrees
With the nearest neighbours (Å) after each atom.
Fractional positions:
As 0.0225 0.7500 0.1840  4 O 1.70-1.77
As 0.4775 0.7500 0.6840  4 O 1.70-1.77
As 0.9775 0.2500 0.8160  4 O 1.70-1.77
As 0.5225 0.2500 0.3160  4 O 1.70-1.77
O 0.3230 0.5170 0.6279  1 As 1.70
O 0.1770 0.5170 0.1279  1 As 1.70
O 0.8989 0.2500 0.6246  1 As 1.77, 2 Cr 1.97
O 0.1011 0.7500 0.3754  1 As 1.77, 2 Cr 1.97
O 0.8230 0.4830 0.8721  1 As 1.70
O 0.8218 0.7500 0.6120  1 As 1.76
O 0.6011 0.2500 0.1246  1 As 1.77, 2 Cr 1.97
O 0.3989 0.7500 0.8754  1 As 1.77, 2 Cr 1.97
O 0.6770 0.4830 0.3721  1 As 1.70
O 0.3230 0.9830 0.6279  1 As 1.70
O 0.1782 0.2500 0.3880  1 As 1.76
O 0.6770 0.0170 0.3721  1 As 1.70
O 0.8230 0.0170 0.8721  1 As 1.70
O 0.1770 0.9830 0.1279  1 As 1.70
O 0.6782 0.7500 0.1120  1 As 1.76
O 0.3218 0.2500 0.8880  1 As 1.76
Cr 0.5000 0.5000 0.0000  6 O 1.92-2.03
Cr 0.0000 0.5000 0.5000  6 O 1.92-2.03
Cr 0.0000 0.0000 0.5000  6 O 1.92-2.03
Cr 0.5000 0.0000 0.0000  6 O 1.92-2.03



# 4
# La2HgAs2

A crystal of La2HgAs2 relaxed with PBEsol (meta-GGA SCAN, the Alexandria database).

The density is 7.22 Mg/m³. The total DFT energy (no corrections) comes out at -39.86 eV per atom. As for the density of states at the Fermi level: 0.80 states/eV/atom. Its energy of formation is -4.55 eV/f.u.

Cell lengths 5.8792, 5.8972, 5.8792 Å; angles 60.10, 90.00, 119.90 degrees
With the nearest neighbours (Å) after each atom.
Fractional positions:
Hg 0.0000 0.0000 0.0000  2 As 2.65
La 0.2500 0.5000 0.2500  4 As 2.99
La 0.7500 0.5000 0.7500  4 As 2.99
As 0.3168 0.6336 0.6832  1 Hg 2.65
As 0.6832 0.3664 0.3168  1 Hg 2.65



# 5
# CdFe2Ni

A crystal of CdFe2Ni relaxed with PBEsol (meta-GGA SCAN, the Alexandria database).

The density is 9.16 Mg/m³. The total DFT energy (no corrections) comes out at -20.51 eV per atom. As for the density of states at the Fermi level: 1.12 states/eV/atom. Its energy of formation is 0.82 eV/f.u.

Cell lengths 3.8080, 3.8080, 4.4426 Å; angles 115.38, 115.38, 90.00 degrees
With the nearest neighbours (Å) after each atom.
Fractional positions:
Fe 0.7500 0.2500 0.5000  4 Fe 2.60, 4 Ni 2.60, 4 Cd 2.69
Fe 0.0000 0.0000 0.0000  4 Cd 2.60, 4 Fe 2.60, 4 Ni 2.69
Ni 0.5000 0.5000 0.0000  4 Cd 2.60, 8 Fe 2.60-2.69
Cd 0.2500 0.7500 0.5000  8 Fe 2.60-2.69, 4 Ni 2.60



# 6
# RbCuPS2

A crystal of RbCuPS2 relaxed with PBEsol (meta-GGA SCAN, the Alexandria database).

The uncorrected formation energy comes out at 118 meV/atom. The density is 3.96 Mg/m³. The total DFT energy (no corrections) comes out at -13.00 eV per atom. As for the density of states at the Fermi level: 0.69 states/eV/atom.

Cell lengths 4.3905, 4.8275, 4.8275 Å; angles 90.00, 90.00, 90.00 degrees
With the nearest neighbours (Å) after each atom.
Fractional positions:
S 0.0000 0.5000 0.0000  2 Cu 2.41
S 0.0000 0.0000 0.5000  2 Cu 2.41
Rb 0.5000 0.5000 0.5000  8 S 3.26, 4 P 3.41
P 0.5000 0.0000 0.0000  2 Cu 2.20
Cu 0.0000 0.0000 0.0000  2 P 2.20, 4 S 2.41



# 7
# Ba2SbN

A crystal of Ba2SbN relaxed with PBEsol (meta-GGA SCAN, the Alexandria database).

The uncorrected formation energy comes out at -124 meV/atom. The density is 5.52 Mg/m³. The total DFT energy (no corrections) comes out at -31.54 eV per atom. As for the density of states at the Fermi level: 0.54 states/eV/atom.

Cell lengths 5.5886, 5.5886, 5.5886 Å; angles 60.00, 60.00, 60.00 degrees
With the nearest neighbours (Å) after each atom.
Fractional positions:
Ba 0.7500 0.7500 0.7500  4 Sb 3.42, 4 N 3.42
Ba 0.2500 0.2500 0.2500  4 Sb 3.42, 4 N 3.42
Sb 0.5000 0.5000 0.5000  8 Ba 3.42
N 0.0000 0.0000 0.0000  8 Ba 3.42



# 8
# Hf2TaFeCl

A crystal of Hf2TaFeCl relaxed with PBEsol (meta-GGA SCAN, the Alexandria database).

The uncorrected formation energy comes out at 616 meV/atom. The density is 11.03 Mg/m³. The total DFT energy (no corrections) comes out at -42.99 eV per atom. As for the density of states at the Fermi level: 0.72 states/eV/atom.

Cell lengths 4.4129, 4.6323, 4.6323 Å; angles 90.00, 90.00, 90.00 degrees
With the nearest neighbours (Å) after each atom.
Fractional positions:
Ta 0.5000 0.0000 0.0000  2 Cl 2.21
Hf 0.0000 0.5000 0.0000  2 Cl 2.32
Hf 0.0000 0.0000 0.5000  2 Cl 2.32
Fe 0.5000 0.5000 0.5000  8 Hf 3.20, 4 Ta 3.28
Cl 0.0000 0.0000 0.0000  2 Ta 2.21, 4 Hf 2.32



# 9
# SbSO2F5

A crystal of SbSO2F5 relaxed with PBEsol (meta-GGA SCAN, the Alexandria database).

The uncorrected formation energy comes out at -1938 meV/atom. The density is 3.12 Mg/m³. The total DFT energy (no corrections) comes out at -10.50 eV per atom. As for the density of states at the Fermi level: 0.00 states/eV/atom.

Cell lengths 5.7668, 10.0474, 10.4531 Å; angles 90.00, 90.00, 99.46 degrees
With the nearest neighbours (Å) after each atom.
Fractional positions:
O 0.9407 0.3226 0.8530  1 S 1.50
O 0.6200 0.0355 0.7535  1 S 1.43
O 0.4407 0.8226 0.6470  1 S 1.50
O 0.5593 0.1774 0.3530  1 S 1.50
O 0.8800 0.4645 0.2535  1 S 1.43
O 0.1200 0.5355 0.7465  1 S 1.43
O 0.0593 0.6774 0.1470  1 S 1.50
O 0.3800 0.9645 0.2465  1 S 1.43
S 0.5842 0.0643 0.2633  2 O 1.43-1.50
S 0.0842 0.5643 0.2367  2 O 1.43-1.50
S 0.9158 0.4357 0.7633  2 O 1.43-1.50
S 0.4158 0.9357 0.7367  2 O 1.43-1.50
F 0.4309 0.2161 0.0858  1 Sb 1.90
F 0.0756 0.1625 0.3488  1 Sb 1.89
F 0.9309 0.7161 0.4142  1 Sb 1.90
F 0.6518 0.5991 0.6127  1 Sb 1.89
F 0.1518 0.0991 0.8873  1 Sb 1.89
F 0.2288 0.4429 0.0479  1 Sb 1.92
F 0.0523 0.7917 0.9154  1 Sb 1.88
F 0.5756 0.6625 0.1512  1 Sb 1.89
F 0.5691 0.7839 0.9142  1 Sb 1.90
F 0.7288 0.9429 0.4521  1 Sb 1.92
F 0.7712 0.5571 0.9521  1 Sb 1.92
F 0.4477 0.7083 0.4154  1 Sb 1.88
F 0.3482 0.4009 0.3873  1 Sb 1.89
F 0.2712 0.0571 0.5479  1 Sb 1.92
F 0.9477 0.2083 0.0846  1 Sb 1.88
F 0.9244 0.8375 0.6512  1 Sb 1.89
F 0.0691 0.2839 0.5858  1 Sb 1.90
F 0.8482 0.9009 0.1127  1 Sb 1.89
F 0.5523 0.2917 0.5846  1 Sb 1.88
F 0.4244 0.3375 0.8488  1 Sb 1.89
Sb 0.2982 0.2334 0.4738  5 F 1.88-1.92
Sb 0.2018 0.2666 0.9738  5 F 1.88-1.92
Sb 0.7982 0.7334 0.0262  5 F 1.88-1.92
Sb 0.7018 0.7666 0.5262  5 F 1.88-1.92



# 10
# TmGaPd

A crystal of TmGaPd relaxed with PBEsol (meta-GGA SCAN, the Alexandria database).

The density is 10.39 Mg/m³. The total DFT energy (no corrections) comes out at -34.68 eV per atom. As for the density of states at the Fermi level: 0.46 states/eV/atom. Its energy of formation is -3.08 eV/f.u.

Cell lengths 4.3749, 6.7307, 7.4934 Å; angles 90.00, 90.00, 90.00 degrees
With the nearest neighbours (Å) after each atom.
Fractional positions:
Tm 0.2500 0.5159 0.1988  5 Pd 2.83-3.05, 6 Ga 3.03-3.15
Tm 0.7500 0.4841 0.8012  5 Pd 2.83-3.05, 6 Ga 3.03-3.15
Tm 0.2500 0.0159 0.3012  5 Pd 2.83-3.05, 6 Ga 3.03-3.15
Tm 0.7500 0.9841 0.6988  5 Pd 2.83-3.05, 6 Ga 3.03-3.15
Pd 0.2500 0.7791 0.9038  4 Ga 2.55-2.68, 1 Tm 2.83
Pd 0.7500 0.7209 0.4038  4 Ga 2.55-2.68, 1 Tm 2.83
Pd 0.2500 0.2791 0.5962  4 Ga 2.55-2.68, 1 Tm 2.83
Pd 0.7500 0.2209 0.0962  4 Ga 2.55-2.68, 1 Tm 2.83
Ga 0.7500 0.8232 0.0762  4 Pd 2.55-2.68
Ga 0.7500 0.3232 0.4238  4 Pd 2.55-2.68
Ga 0.2500 0.1768 0.9238  4 Pd 2.55-2.68
Ga 0.2500 0.6768 0.5762  4 Pd 2.55-2.68



# 11
# ScCdPb2

A crystal of ScCdPb2 relaxed with PBEsol (meta-GGA SCAN, the Alexandria database).

The density is 9.95 Mg/m³. The total DFT energy (no corrections) comes out at -49.33 eV per atom. As for the density of states at the Fermi level: 0.45 states/eV/atom. Its energy of formation is -1.11 eV/f.u.

Cell lengths 4.3051, 4.3051, 5.9807 Å; angles 111.09, 111.09, 90.00 degrees
With the nearest neighbours (Å) after each atom.
Fractional positions:
Cd 0.2500 0.7500 0.5000  8 Pb 3.04-3.36, 4 Sc 3.36
Pb 0.0000 0.0000 0.0000  4 Sc 3.04, 4 Cd 3.36, 4 Pb 3.36
Pb 0.7500 0.2500 0.5000  4 Cd 3.04, 4 Pb 3.36, 4 Sc 3.36
Sc 0.5000 0.5000 0.0000  8 Pb 3.04-3.36, 4 Cd 3.36



# 12
# Li2AlIn

A crystal of Li2AlIn relaxed with PBEsol (meta-GGA SCAN, the Alexandria database).

The density is 3.66 Mg/m³. The total DFT energy (no corrections) comes out at -11.70 eV per atom. As for the density of states at the Fermi level: 0.33 states/eV/atom. Its energy of formation is -0.87 eV/f.u.

Cell lengths 4.0868, 4.0868, 5.1245 Å; angles 113.50, 113.50, 90.00 degrees
With the nearest neighbours (Å) after each atom.
Fractional positions:
Al 0.0000 0.0000 0.0000  4 In 2.89, 8 Li 2.94
Li 0.2500 0.7500 0.5000  4 Li 2.89, 4 In 2.94, 4 Al 2.94
Li 0.7500 0.2500 0.5000  4 Li 2.89, 4 In 2.94, 4 Al 2.94
In 0.5000 0.5000 0.0000  4 Al 2.89, 8 Li 2.94